Computed, not measured: a geometry-optimized Nd2Ga2BrCl structure at the PBE level of DFT.

Cell lengths 4.2173, 4.2173, 11.3526 Å; angles 90.00, 90.00, 120.00 degrees
With the nearest neighbours (Å) after each atom.
Space group P3m1 (No. 156)
Symmetry-distinct sites (fractional):
Nd  0.0000  0.0000  0.0000  3 Cl 2.91, 3 Ga 3.04
Nd  0.0000  0.0000  0.3745  3 Ga 3.03, 3 Br 3.04
Ga  0.3333  0.6667  0.2156  3 Ga 2.51
Ga  0.6667  0.3333  0.1607  3 Ga 2.51
Br  0.6667  0.3333  0.5353  3 Nd 3.04
Cl  0.3333  0.6667  0.8589  3 Nd 2.91

Summary:
crystal system = trigonal
uncorrected energy = -4.5191 eV/atom
magnetization = 0.0 μB/f.u.